1.
The following is a DFT calculation (SCAN) of a PBEsol-optimized structure of YBe2Cr.

```
data_YBe2Cr
_chemical_formula_sum 'Y1 Be2 Cr1'
_symmetry_space_group_name_H-M 'P 4 m m'
_symmetry_Int_Tables_number 99
_cell_length_a 2.9272
_cell_length_b 2.9272
_cell_length_c 6.7821
_cell_angle_alpha 90.00
_cell_angle_beta 90.00
_cell_angle_gamma 90.00
loop_
_symmetry_equiv_pos_as_xyz
'x,y,z'
'-y,x,z'
'-x,-y,z'
'y,-x,z'
'-x,y,z'
'y,x,z'
'x,-y,z'
'-y,-x,z'
loop_
_atom_site_label
_atom_site_fract_x
_atom_site_fract_y
_atom_site_fract_z
_atom_site_occupancy
Y1 0.0000 0.0000 0.0000 1
Be1 0.0000 0.0000 0.4846 1
Be2 0.5000 0.5000 0.3257 1
Cr1 0.5000 0.5000 0.6777 1
```

=====

2.
The following is a DFT calculation (SCAN) of a PBEsol-optimized structure of YBeCr2.

```
data_YBeCr2
_chemical_formula_sum 'Y2 Be2 Cr4'
_symmetry_space_group_name_H-M 'C 1 2/m 1'
_symmetry_Int_Tables_number 12
_cell_length_a 5.0793
_cell_length_b 8.8671
_cell_length_c 2.9123
_cell_angle_alpha 90.00
_cell_angle_beta 120.96
_cell_angle_gamma 90.00
loop_
_symmetry_equiv_pos_as_xyz
'x,y,z'
'-x,-y,-z'
'-x,y,-z'
'x,-y,z'
'x+1/2,y+1/2,z'
'-x+1/2,-y+1/2,-z'
'-x+1/2,y+1/2,-z'
'x+1/2,-y+1/2,z'
loop_
_atom_site_label
_atom_site_fract_x
_atom_site_fract_y
_atom_site_fract_z
_atom_site_occupancy
Y1 0.0000 0.0000 0.0000 1
Be1 0.0000 0.5000 0.0000 1
Cr1 0.2500 0.2500 0.5000 1
```

=====

3.
The following is a DFT calculation (SCAN) of a PBEsol-optimized structure of Be2ZnCr.

```
data_Be2ZnCr
_chemical_formula_sum 'Be4 Zn2 Cr2'
_symmetry_space_group_name_H-M 'C m m m'
_symmetry_Int_Tables_number 65
_symmetry_space_group_name_Hall '-C 2 2'
_cell_length_a 3.0341
_cell_length_b 3.6845
_cell_length_c 7.3580
_cell_angle_alpha 90.00
_cell_angle_beta 90.00
_cell_angle_gamma 90.00
loop_
_atom_site_label
_atom_site_fract_x
_atom_site_fract_y
_atom_site_fract_z
_atom_site_occupancy
Be1 0.0000 0.0000 0.2385 1
Zn1 0.0000 0.5000 0.5000 1
Cr1 0.0000 0.5000 0.0000 1
```

=====

4.
The following is a DFT calculation (SCAN) of a PBEsol-optimized structure of BeZnCr.

```
data_BeZnCr
_chemical_formula_sum 'Be2 Zn2 Cr2'
_symmetry_space_group_name_H-M 'I 4 m m'
_symmetry_Int_Tables_number 107
_symmetry_space_group_name_Hall 'I 4 -2'
_cell_length_a 2.4196
_cell_length_b 2.4196
_cell_length_c 11.1084
_cell_angle_alpha 90.00
_cell_angle_beta 90.00
_cell_angle_gamma 90.00
loop_
_atom_site_label
_atom_site_fract_x
_atom_site_fract_y
_atom_site_fract_z
_atom_site_occupancy
Be1 0.0000 0.0000 0.0000 1
Zn1 0.0000 0.0000 0.3365 1
Cr1 0.0000 0.0000 0.6530 1
```

=====

5.
The following is a DFT calculation (SCAN) of a PBEsol-optimized structure of BeZnCr2.

```
data_BeZnCr2
_chemical_formula_sum 'Be2 Zn2 Cr4'
_symmetry_space_group_name_H-M 'C m m 2'
_symmetry_Int_Tables_number 35
_cell_length_a 2.8768
_cell_length_b 3.8798
_cell_length_c 7.8805
_cell_angle_alpha 90.00
_cell_angle_beta 90.00
_cell_angle_gamma 90.00
loop_
_symmetry_equiv_pos_as_xyz
'x,y,z'
'-x,-y,z'
'-x,y,z'
'x,-y,z'
'x+1/2,y+1/2,z'
'-x+1/2,-y+1/2,z'
'-x+1/2,y+1/2,z'
'x+1/2,-y+1/2,z'
loop_
_atom_site_label
_atom_site_fract_x
_atom_site_fract_y
_atom_site_fract_z
_atom_site_occupancy
Be1 0.0000 0.0000 0.0000 1
Zn1 0.0000 0.5000 0.2498 1
Cr1 0.0000 0.0000 0.5221 1
Cr2 0.0000 0.5000 0.7700 1
```

=====

6.
The following is a DFT calculation (SCAN) of a PBEsol-optimized structure of BeZnCr2.

```
data_BeZnCr2
_chemical_formula_sum 'Be1 Zn1 Cr2'
_symmetry_space_group_name_H-M 'P 1 2/m 1'
_symmetry_Int_Tables_number 10
_cell_length_a 2.3934
_cell_length_b 3.8698
_cell_length_c 4.7613
_cell_angle_alpha 90.00
_cell_angle_beta 97.87
_cell_angle_gamma 90.00
loop_
_symmetry_equiv_pos_as_xyz
'x,y,z'
'-x,-y,-z'
'-x,y,-z'
'x,-y,z'
loop_
_atom_site_label
_atom_site_fract_x
_atom_site_fract_y
_atom_site_fract_z
_atom_site_occupancy
Be1 0.0000 0.0000 0.0000 1
Zn1 0.0000 0.0000 0.5000 1
Cr1 0.4704 0.5000 0.2261 1
```

=====

7.
The following is a DFT calculation (SCAN) of a PBEsol-optimized structure of Be2ZnCr.

```
data_Be2ZnCr
_chemical_formula_sum 'Be4 Zn2 Cr2'
_symmetry_space_group_name_H-M 'I m m m'
_symmetry_Int_Tables_number 71
_symmetry_space_group_name_Hall '-I 2 2'
_cell_length_a 2.5338
_cell_length_b 4.1765
_cell_length_c 7.9599
_cell_angle_alpha 90.00
_cell_angle_beta 90.00
_cell_angle_gamma 90.00
loop_
_atom_site_label
_atom_site_fract_x
_atom_site_fract_y
_atom_site_fract_z
_atom_site_occupancy
Be1 0.0000 0.0000 0.2470 1
Zn1 0.0000 0.5000 0.5000 1
Cr1 0.0000 0.5000 0.0000 1
```

=====

8.
The following is a DFT calculation (SCAN) of a PBEsol-optimized structure of BeZn2Cr.

```
data_BeZn2Cr
_chemical_formula_sum 'Be1 Zn2 Cr1'
_symmetry_space_group_name_H-M 'P 1 2/m 1'
_symmetry_Int_Tables_number 10
_cell_length_a 2.5130
_cell_length_b 3.9247
_cell_length_c 4.8527
_cell_angle_alpha 90.00
_cell_angle_beta 103.13
_cell_angle_gamma 90.00
loop_
_symmetry_equiv_pos_as_xyz
'x,y,z'
'-x,-y,-z'
'-x,y,-z'
'x,-y,z'
loop_
_atom_site_label
_atom_site_fract_x
_atom_site_fract_y
_atom_site_fract_z
_atom_site_occupancy
Be1 0.0000 0.0000 0.0000 1
Zn1 0.1536 0.5000 0.7589 1
Cr1 0.5000 0.0000 0.5000 1
```

=====

Result set for VASP energy: -13.417, -16.381, -10.082, -11.973, -13.567, -13.548, -9.911, -12.305 eV per atom, one per record in the order listed.
Result set for formation enthalpy at 0 K: 1.3, 3.4, 0.3, 0.3, 0.4, 0.4, 1.0, 0.5 eV/f.u., one per record in the order listed.